Hf12AlHg3: optimized geometry, PBE.

Geometry as POSCAR:
```
Hf12AlHg3
1.0
-0.600 -0.781 4.268
-0.186 -4.300 -0.813
17.376 -1.172 2.227
Hf Al Hg
12 1 3
Direct
0.500 0.500 0.000 Hf
0.500 0.500 0.249 Hf
0.500 0.500 0.500 Hf
0.500 0.500 0.751 Hf
0.500 0.000 0.121 Hf
0.500 0.000 0.374 Hf
0.500 0.000 0.626 Hf
0.500 0.000 0.879 Hf
0.000 0.500 0.121 Hf
0.000 0.500 0.374 Hf
0.000 0.500 0.626 Hf
0.000 0.500 0.879 Hf
0.000 0.000 0.000 Al
0.000 0.000 0.248 Hg
0.000 0.000 0.500 Hg
0.000 0.000 0.752 Hg
```

Calculated values
**Energy of formation**: -0.093 eV/atom
**Total magnetization**: 0.00 μB per formula unit